<P>
This record from the Alexandria database describes an optimized crystal structure of GaNi2O. The functional is PBE with a Hubbard U.

Values from the calculation:
- Mass density: 5.65 Mg/m³
- Size of the total moment: 2.17 μB per cell

a b c (Å): 6.4541 6.4541 6.4541
angles (deg): 137.94 137.94 61.00
Element x y z (fractional)
Ga (0.0000, 0.0000, 0.0000)
Ga (0.7500, 0.2500, 0.5000)
Ni (0.2567, 0.6250, 0.1317)
Ni (0.3750, 0.5067, 0.6317)
Ni (0.4933, 0.1250, 0.8683)
Ni (0.8750, 0.7433, 0.3683)
O (0.2500, 0.7500, 0.5000)
O (0.5000, 0.5000, 0.0000)

<Q>
This record from the Alexandria database describes an optimized crystal structure of GaNi2O. The functional is PBE with a Hubbard U.

Values from the calculation:
- Mass density: 7.71 Mg/m³
- Size of the total moment: 0.98 μB per cell

a b c (Å): 3.9550 3.9550 3.9550
angles (deg): 60.00 60.00 60.00
Element x y z (fractional)
Ga (0.0000, 0.0000, 0.0000)
Ni (0.2500, 0.2500, 0.2500)
Ni (0.7500, 0.7500, 0.7500)
O (0.5000, 0.5000, 0.5000)

Stability, highest: <P>

<P>
This record from the Alexandria database describes an optimized crystal structure of GaNiP2O. The functional is PBE with a Hubbard U.

Values from the calculation:
- Mass density: 4.60 Mg/m³
- Size of the total moment: 0.00 μB per cell

a b c (Å): 4.6381 4.6381 3.4615
angles (deg): 90.00 90.00 90.00
Element x y z (fractional)
Ga (0.0000, 0.0000, 0.0000)
Ni (0.5000, 0.5000, 0.5000)
P (0.0000, 0.5000, 0.5000)
P (0.5000, 0.0000, 0.5000)
O (0.5000, 0.5000, 0.0000)

<Q>
This record from the Alexandria database describes an optimized crystal structure of GaNiP2O. The functional is PBE with a Hubbard U.

Values from the calculation:
- Mass density: 4.15 Mg/m³
- Size of the total moment: 0.13 μB per cell

a b c (Å): 4.8573 4.8573 3.5001
angles (deg): 90.00 90.00 90.00
Element x y z (fractional)
Ga (0.0000, 0.0000, 0.0000)
Ni (0.5000, 0.5000, 0.5000)
P (0.0000, 0.5000, 0.0000)
P (0.5000, 0.0000, 0.0000)
O (0.0000, 0.0000, 0.5000)

Stability, highest: <P>